Below is an optimized crystal structure of MgAlB3, with properties calculated at the PBE level.

```
MgAlB3
1.0
4.284 0.000 0.000
0.000 4.284 0.000
0.000 0.000 4.284
B Al Mg
3 1 1
direct
0.000 0.500 0.000 B
0.000 0.000 0.500 B
0.500 0.000 0.000 B
0.500 0.500 0.500 Al
0.000 0.000 0.000 Mg
```

Properties
Energy above the lowest structure with this stoichiometry ... 16.01 kcal/mol of atoms
Crystal system ... cubic
ΔH_f (0 K) ... 2.191 eV/atom
Symmetry ... Pm-3m

***

Below is an optimized crystal structure of MgAl2B28, with properties calculated at the PBE level.

```
MgAl2B28
1.0
7.137 -0.022 -0.011
-0.204 7.134 -0.011
2.411 2.473 4.768
B Mg Al
28 1 2
direct
0.121 0.465 0.714 B
0.098 0.728 0.000 B
0.263 0.592 0.832 B
0.530 0.724 0.633 B
0.267 0.466 0.391 B
0.140 0.310 0.031 B
0.689 0.856 0.983 B
0.897 0.274 0.326 B
0.410 0.734 0.179 B
0.533 0.873 0.303 B
0.727 0.097 0.692 B
0.465 0.121 0.714 B
0.126 0.473 0.204 B
0.898 0.272 0.015 B
0.310 0.140 0.031 B
0.466 0.267 0.391 B
0.473 0.126 0.204 B
0.097 0.727 0.692 B
0.856 0.689 0.983 B
0.868 0.533 0.805 B
0.533 0.868 0.805 B
0.724 0.530 0.633 B
0.592 0.263 0.832 B
0.873 0.533 0.303 B
0.734 0.410 0.179 B
0.274 0.897 0.326 B
0.728 0.098 0.000 B
0.272 0.898 0.015 B
0.883 0.883 0.313 Mg
0.497 0.497 0.514 Al
0.156 0.156 0.460 Al
```

Properties
Energy above the lowest structure with this stoichiometry ... 0.50 kcal/mol of atoms
Crystal system ... monoclinic
ΔH_f (0 K) ... -0.076 eV/atom
Symmetry ... Cm